MgTi2O5 after structural relaxation. Source: Alexandria, functional PBE-GGA.

a b c (Å): 5.261 5.261 10.124
angles (deg): 90.00 90.00 138.14
Fractional coordinates of all 16 atoms:
1 O 0.046 0.954 0.113
2 O 0.046 0.954 0.387
3 O 0.314 0.686 0.062
4 O 0.954 0.046 0.613
5 O 0.216 0.784 0.750
6 O 0.314 0.686 0.438
7 O 0.686 0.314 0.562
8 O 0.954 0.046 0.887
9 O 0.686 0.314 0.938
10 O 0.784 0.216 0.250
11 Mg 0.804 0.196 0.750
12 Mg 0.196 0.804 0.250
13 Ti 0.867 0.133 0.067
14 Ti 0.133 0.867 0.567
15 Ti 0.867 0.133 0.433
16 Ti 0.133 0.867 0.933

Properties
Relative energy among the computed polymorphs in eV per atom: 0.000
SG: Cmcm
Total magnetization in μB per cell: 0.0
Formation energy without anion corrections in eV/atom: -2.99
Crystal system: orthorhombic